Na2NpVO4: relaxed, GGA+U.

Cell lengths 5.5754, 3.3927, 5.8556 Å; angles 90.00, 108.04, 90.00 degrees
Fractional positions:
Na 0.0000 0.0000 0.0000
Na 0.5000 0.5000 0.0000
Np 0.0000 0.5000 0.5000
V 0.5000 0.0000 0.5000
O 0.2409 0.0000 0.7182
O 0.2670 0.5000 0.2935
O 0.7330 0.5000 0.7065
O 0.7591 0.0000 0.2818

Values from the calculation:
The value obtained for the total DFT energy (no corrections) is -7.500 eV per atom. The value obtained for the total moment is 0.75 μB per atom. The calculated volume comes out at 13.2 Å³ per atom. The space group is P2/m (10).